First-principles (PBE) data for a geometry-optimized NaTb2Tm structure, as listed in Alexandria.

Crystal system   tetragonal
Total energy   -3.636 eV/atom
Space group   No. 123
Total moment   0.00 μB per atom
Density   6.5 g cm⁻³

Cell lengths 3.4995, 3.4995, 10.6059 Å; angles 90.00, 90.00, 90.00 degrees
Closest atoms and distances in Å follow each position.
Fractional coordinates of all 4 atoms:
Na  0.5000  0.5000  0.5000  4 Na 3.50, 8 Tb 3.79
Tm  0.5000  0.5000  0.0000  8 Tb 3.47, 4 Tm 3.50
Tb  0.0000  0.0000  0.7706  4 Tm 3.47, 4 Tb 3.50, 4 Na 3.79
Tb  0.0000  0.0000  0.2294  4 Tm 3.47, 4 Tb 3.50, 4 Na 3.79